--- a ---
Material: TlAgGeTe3
Method: DFT, GGA-PBE
State: relaxed

The structure belongs to space group Pnma (No. 62); the cell edges are 9.339, 4.331 and 17.156 Å and the angles 90.00°, 90.00° and 90.00°. The distinct sites, in fractional coordinates, are Tl at (0.065, 0.250, 0.207), Ag at (0.227, 0.250, 0.640), Ge at (0.169, 0.750, 0.449), Te at (0.024, 0.750, 0.602), Te at (0.132, 0.750, 0.999) and Te at (0.186, 0.250, 0.800).



--- b ---
Material: TlAgGeTe3
Method: DFT, GGA-PBE
State: relaxed

The structure belongs to space group Pnma (No. 62); the cell edges are 12.273, 4.431 and 13.052 Å and the angles 90.00°, 90.00° and 90.00°. The distinct sites, in fractional coordinates, are Tl at (0.242, 0.250, 0.023), Ag at (0.240, 0.250, 0.348), Ge at (0.012, 0.750, 0.239), Te at (0.015, 0.250, 0.421), Te at (0.032, 0.750, 0.890) and Te at (0.231, 0.750, 0.212).



--- c ---
Material: TlAgGeTe3
Method: DFT, GGA-PBE
State: relaxed

The structure belongs to space group Pnma (No. 62); the cell edges are 16.283, 3.765 and 11.918 Å and the angles 90.00°, 90.00° and 90.00°. The distinct sites, in fractional coordinates, are Tl at (0.223, 0.250, 0.037), Ag at (0.027, 0.750, 0.090), Ge at (0.041, 0.250, 0.374), Te at (0.093, 0.250, 0.592), Te at (0.105, 0.750, 0.869) and Te at (0.142, 0.750, 0.270).



Which structure loses on stability? a does.



--- a ---
Material: Zr2Ag2Ge
Method: DFT, GGA-PBE
State: relaxed

The structure belongs to space group I4/mmm (No. 139); the cell edges are 3.708, 3.708 and 15.220 Å and the angles 90.00°, 90.00° and 90.00°. The distinct sites, in fractional coordinates, are Zr at (0.000, 0.000, 0.093), Ag at (0.000, 0.500, 0.250) and Ge at (0.000, 0.000, 0.500).



--- b ---
Material: Zr2Ag2Ge
Method: DFT, GGA-PBE
State: relaxed

The structure belongs to space group I4/mmm (No. 139); the cell edges are 4.164, 4.164 and 13.074 Å and the angles 90.00°, 90.00° and 90.00°. The distinct sites, in fractional coordinates, are Zr at (0.000, 0.500, 0.250), Ag at (0.000, 0.000, 0.098) and Ge at (0.000, 0.000, 0.500).



Which structure loses on stability? b does.



--- a ---
Material: Zr3Ag4Ge4
Method: DFT, GGA-PBE
State: relaxed

The structure belongs to space group Pm (No. 6); the cell edges are 6.703, 4.064 and 8.041 Å and the angles 90.00°, 91.10° and 90.00°. The distinct sites, in fractional coordinates, are Zr at (0.000, 0.000, 0.000), Zr at (0.085, 0.500, 0.379), Zr at (0.500, 0.000, 0.885), Ag at (0.169, 0.500, 0.745), Ag at (0.407, 0.000, 0.267), Ag at (0.683, 0.500, 0.146), Ag at (0.865, 0.000, 0.623), Ge at (0.281, 0.500, 0.065), Ge at (0.320, 0.000, 0.579), Ge at (0.771, 0.500, 0.823) and Ge at (0.821, 0.000, 0.306).



--- b ---
Material: Zr3Ag4Ge4
Method: DFT, GGA-PBE
State: relaxed

The structure belongs to space group I-42m (No. 121); the cell edges are 6.000, 6.000 and 12.380 Å and the angles 90.00°, 90.00° and 90.00°. The distinct sites, in fractional coordinates, are Zr at (0.000, 0.000, 0.000), Zr at (0.000, 0.500, 0.250), Ag at (0.169, 0.169, 0.597), Ge at (0.000, 0.000, 0.225) and Ge at (0.000, 0.500, 0.000).



Which structure loses on stability? b does.



--- a ---
Material: AgH3O2
Method: DFT, GGA-PBE
State: relaxed

The structure belongs to space group C2/m (No. 12); the cell edges are 7.598, 9.716 and 3.107 Å and the angles 90.00°, 109.97° and 90.00°. The distinct sites, in fractional coordinates, are Ag at (0.000, 0.148, 0.000), H at (0.103, 0.391, 0.701), H at (0.246, 0.500, 0.287), O at (0.000, 0.329, 0.500) and O at (0.249, 0.500, 0.974).



--- b ---
Material: AgH3O2
Method: DFT, GGA-PBE
State: relaxed

The structure belongs to space group Cmc2_1 (No. 36); the cell edges are 3.711, 10.485 and 5.363 Å and the angles 90.00°, 90.00° and 90.00°. The distinct sites, in fractional coordinates, are Ag at (0.000, 0.146, 0.000), H at (0.000, 0.495, 0.217), H at (0.212, 0.114, 0.494), O at (0.000, 0.176, 0.470) and O at (0.000, 0.492, 0.032).



Which structure loses on stability? b does.



--- a ---
Material: Hf2Ag2Hg
Method: DFT, GGA-PBE
State: relaxed

The structure belongs to space group I4/mmm (No. 139); the cell edges are 3.957, 3.957 and 13.812 Å and the angles 90.00°, 90.00° and 90.00°. The distinct sites, in fractional coordinates, are Hf at (0.000, 0.000, 0.101), Ag at (0.000, 0.500, 0.250) and Hg at (0.000, 0.000, 0.500).



--- b ---
Material: Hf2Ag2Hg
Method: DFT, GGA-PBE
State: relaxed

The structure belongs to space group I4/mmm (No. 139); the cell edges are 4.244, 4.244 and 12.407 Å and the angles 90.00°, 90.00° and 90.00°. The distinct sites, in fractional coordinates, are Hf at (0.000, 0.500, 0.250), Ag at (0.000, 0.000, 0.103) and Hg at (0.000, 0.000, 0.500).



Which structure loses on stability? a does.



--- a ---
Material: HfInAgPd
Method: DFT, GGA-PBE
State: relaxed

The structure belongs to space group F-43m (No. 216); the cell edges are 6.665, 6.665 and 6.665 Å and the angles 90.00°, 90.00° and 90.00°. The distinct sites, in fractional coordinates, are Hf at (0.000, 0.000, 0.000), In at (0.250, 0.250, 0.750), Ag at (0.250, 0.250, 0.250) and Pd at (0.000, 0.000, 0.500).



--- b ---
Material: HfInAgPd
Method: DFT, GGA-PBE
State: relaxed

The structure belongs to space group F-43m (No. 216); the cell edges are 6.692, 6.692 and 6.692 Å and the angles 90.00°, 90.00° and 90.00°. The distinct sites, in fractional coordinates, are Hf at (0.000, 0.000, 0.000), In at (0.250, 0.250, 0.250), Ag at (0.000, 0.000, 0.500) and Pd at (0.250, 0.250, 0.750).



--- c ---
Material: HfInAgPd
Method: DFT, GGA-PBE
State: relaxed

The structure belongs to space group F-43m (No. 216); the cell edges are 6.661, 6.661 and 6.661 Å and the angles 90.00°, 90.00° and 90.00°. The distinct sites, in fractional coordinates, are Hf at (0.000, 0.000, 0.000), In at (0.000, 0.000, 0.500), Ag at (0.250, 0.250, 0.250) and Pd at (0.250, 0.250, 0.750).



Which structure loses on stability? a does.



--- a ---
Material: KHfAgTeSe2
Method: DFT, GGA-PBE
State: relaxed

The structure belongs to space group Cmcm (No. 63); the cell edges are 3.991, 15.620 and 10.902 Å and the angles 90.00°, 90.00° and 90.00°. The distinct sites, in fractional coordinates, are K at (0.000, 0.233, 0.250), Hf at (0.000, 0.000, 0.000), Ag at (0.000, 0.458, 0.750), Te at (0.000, 0.081, 0.750) and Se at (0.000, 0.383, 0.539).



--- b ---
Material: KHfAgTeSe2
Method: DFT, GGA-PBE
State: relaxed

The structure belongs to space group P2_1/m (No. 11); the cell edges are 8.516, 4.012 and 10.422 Å and the angles 90.00°, 110.39° and 90.00°. The distinct sites, in fractional coordinates, are K at (0.235, 0.250, 0.261), Hf at (0.317, 0.750, 0.844), Ag at (0.073, 0.250, 0.604), Te at (0.285, 0.750, 0.561), Se at (0.113, 0.250, 0.866) and Se at (0.451, 0.750, 0.124).



Which structure loses on stability? a does.



--- a ---
Material: KHfAgTe2Se
Method: DFT, GGA-PBE
State: relaxed

The structure belongs to space group Cmcm (No. 63); the cell edges are 4.163, 15.734 and 10.699 Å and the angles 90.00°, 90.00° and 90.00°. The distinct sites, in fractional coordinates, are K at (0.000, 0.246, 0.250), Hf at (0.000, 0.500, 0.000), Ag at (0.000, 0.044, 0.750), Te at (0.000, 0.130, 0.530) and Se at (0.000, 0.440, 0.750).



--- b ---
Material: KHfAgTe2Se
Method: DFT, GGA-PBE
State: relaxed

The structure belongs to space group P2_1/m (No. 11); the cell edges are 8.619, 4.114 and 10.993 Å and the angles 90.00°, 111.02° and 90.00°. The distinct sites, in fractional coordinates, are K at (0.236, 0.250, 0.283), Hf at (0.303, 0.750, 0.830), Ag at (0.074, 0.250, 0.599), Te at (0.283, 0.750, 0.565), Te at (0.433, 0.750, 0.120) and Se at (0.108, 0.250, 0.848).



Which structure loses on stability? a does.